{"formula": "Li7ErSn4", "functional": "GGA-PBE", "state": "relaxed", "lattice": [[-3.475, -2.318, -2.717], [-5.165, -3.986, 5.437], [-5.678, 3.882, -0.619]], "species": ["Li", "Li", "Li", "Li", "Li", "Li", "Li", "Er", "Sn", "Sn", "Sn", "Sn"], "frac_coords": [[0.787, 0.875, 0.552], [0.213, 0.125, 0.448], [0.077, 0.626, 0.219], [0.923, 0.374, 0.781], [0.338, 0.593, 0.731], [0.500, 0.000, 0.000], [0.662, 0.407, 0.269], [0.000, 0.000, 0.000], [0.572, 0.204, 0.653], [0.428, 0.796, 0.347], [0.690, 0.689, 0.930], [0.310, 0.311, 0.070]], "n_ef_per_ev_cell": 4.27, "rho_g_cm3": 4.4, "e_tot_ev_per_cell": -36.7, "crystal_system": "monoclinic"}